Computed, not measured: a relaxed Y2LuPa crystal at the GGA-PBE level of DFT.

The calculation puts the density of states at the Fermi level at 2.649 states/eV per atom. The value obtained for the energy is -6.383 eV/atom.

Cell lengths 7.8455, 7.8455, 7.8455 Å; angles 90.00, 90.00, 90.00 degrees
Fractional positions:
1 Y 0.2500 0.2500 0.2500
2 Y 0.2500 0.2500 0.7500
3 Y 0.2500 0.7500 0.2500
4 Y 0.2500 0.7500 0.7500
5 Y 0.7500 0.2500 0.2500
6 Y 0.7500 0.2500 0.7500
7 Y 0.7500 0.7500 0.2500
8 Y 0.7500 0.7500 0.7500
9 Lu 0.0000 0.0000 0.0000
10 Lu 0.0000 0.5000 0.5000
11 Lu 0.5000 0.0000 0.5000
12 Lu 0.5000 0.5000 0.0000
13 Pa 0.0000 0.0000 0.5000
14 Pa 0.0000 0.5000 0.0000
15 Pa 0.5000 0.0000 0.0000
16 Pa 0.5000 0.5000 0.5000

Computed, not measured: a relaxed YLuPa crystal at the GGA-PBE level of DFT.

The calculation puts the density of states at the Fermi level at 1.829 states/eV per atom. The value obtained for the energy is -6.675 eV/atom.

Cell lengths 3.3902, 3.3902, 14.9530 Å; angles 90.00, 90.00, 90.00 degrees
Fractional positions:
1 Y 0.0000 0.0000 0.0000
2 Y 0.5000 0.5000 0.5000
3 Lu 0.0000 0.0000 0.3163
4 Lu 0.5000 0.5000 0.8163
5 Pa 0.0000 0.0000 0.6609
6 Pa 0.5000 0.5000 0.1609

Computed, not measured: a relaxed LuPaZn crystal at the GGA-PBE level of DFT.

The calculation puts the density of states at the Fermi level at 1.536 states/eV per atom. The value obtained for the energy is -5.098 eV/atom.

Cell lengths 3.2078, 3.2078, 13.4696 Å; angles 90.00, 90.00, 90.00 degrees
Fractional positions:
1 Lu 0.0000 0.0000 0.0000
2 Lu 0.5000 0.5000 0.5000
3 Pa 0.0000 0.0000 0.3069
4 Pa 0.5000 0.5000 0.8069
5 Zn 0.0000 0.0000 0.6481
6 Zn 0.5000 0.5000 0.1481

Computed, not measured: a relaxed LuPaZn crystal at the GGA-PBE level of DFT.

The calculation puts the density of states at the Fermi level at 1.806 states/eV per atom. The value obtained for the energy is -4.899 eV/atom.

Cell lengths 5.0214, 5.0214, 3.2326 Å; angles 90.00, 90.00, 120.00 degrees
Fractional positions:
1 Lu 0.0000 0.0000 0.0000
2 Pa 0.6667 0.3333 0.4590
3 Zn 0.3333 0.6667 0.8175

Computed, not measured: a relaxed LuZr2Pa crystal at the GGA-PBE level of DFT.

The calculation puts the density of states at the Fermi level at 1.568 states/eV per atom. The value obtained for the energy is -7.691 eV/atom.

Cell lengths 3.8117, 3.8117, 7.0005 Å; angles 90.00, 90.00, 90.00 degrees
Fractional positions:
1 Lu 0.0000 0.0000 0.0000
2 Zr 0.5000 0.5000 0.2873
3 Zr 0.5000 0.5000 0.7127
4 Pa 0.0000 0.0000 0.5000

Computed, not measured: a relaxed LuZr2Pa crystal at the GGA-PBE level of DFT.

The calculation puts the density of states at the Fermi level at 2.746 states/eV per atom. The value obtained for the energy is -7.577 eV/atom.

Cell lengths 7.3407, 7.3407, 7.3407 Å; angles 90.00, 90.00, 90.00 degrees
Fractional positions:
1 Lu 0.0000 0.0000 0.0000
2 Lu 0.0000 0.5000 0.5000
3 Lu 0.5000 0.0000 0.5000
4 Lu 0.5000 0.5000 0.0000
5 Zr 0.2500 0.2500 0.2500
6 Zr 0.2500 0.2500 0.7500
7 Zr 0.2500 0.7500 0.2500
8 Zr 0.2500 0.7500 0.7500
9 Zr 0.7500 0.2500 0.2500
10 Zr 0.7500 0.2500 0.7500
11 Zr 0.7500 0.7500 0.2500
12 Zr 0.7500 0.7500 0.7500
13 Pa 0.0000 0.0000 0.5000
14 Pa 0.0000 0.5000 0.0000
15 Pa 0.5000 0.0000 0.0000
16 Pa 0.5000 0.5000 0.5000

Computed, not measured: a relaxed LuZr2Pa crystal at the GGA-PBE level of DFT.

The calculation puts the density of states at the Fermi level at 1.783 states/eV per atom. The value obtained for the energy is -7.626 eV/atom.

Cell lengths 4.7121, 4.7121, 4.5037 Å; angles 90.00, 90.00, 90.00 degrees
Fractional positions:
1 Lu 0.0000 0.0000 0.0000
2 Zr 0.0000 0.5000 0.5000
3 Zr 0.5000 0.0000 0.5000
4 Pa 0.5000 0.5000 0.0000

Computed, not measured: a relaxed LuPb crystal at the GGA-PBE level of DFT.

The calculation puts the density of states at the Fermi level at 0.430 states/eV per atom. The value obtained for the energy is -4.451 eV/atom.

Cell lengths 3.5850, 5.2018, 6.2521 Å; angles 90.00, 106.29, 90.00 degrees
Fractional positions:
1 Lu 0.1212 0.2500 0.2570
2 Lu 0.8788 0.7500 0.7430
3 Pb 0.3958 0.2500 0.7761
4 Pb 0.6042 0.7500 0.2239

Computed, not measured: a relaxed LuPb crystal at the GGA-PBE level of DFT.

The calculation puts the density of states at the Fermi level at 0.660 states/eV per atom. The value obtained for the energy is -4.435 eV/atom.

Cell lengths 3.6658, 3.7023, 4.2781 Å; angles 80.94, 80.79, 78.88 degrees
Fractional positions:
1 Lu 0.0000 0.0000 0.0000
2 Pb 0.5000 0.5000 0.5000

Computed, not measured: a relaxed LuPb5 crystal at the GGA-PBE level of DFT.

The calculation puts the density of states at the Fermi level at 0.599 states/eV per atom. The value obtained for the energy is -3.935 eV/atom.

Cell lengths 4.8341, 15.8439, 4.6717 Å; angles 90.00, 90.00, 90.00 degrees
Fractional positions:
1 Lu 0.0000 0.0000 0.0000
2 Lu 0.5000 0.5000 0.0000
3 Pb 0.0000 0.1653 0.5000
4 Pb 0.0000 0.3420 0.0000
5 Pb 0.0000 0.5000 0.5000
6 Pb 0.0000 0.6580 0.0000
7 Pb 0.0000 0.8347 0.5000
8 Pb 0.5000 0.0000 0.5000
9 Pb 0.5000 0.1580 0.0000
10 Pb 0.5000 0.3347 0.5000
11 Pb 0.5000 0.6653 0.5000
12 Pb 0.5000 0.8420 0.0000

Computed, not measured: a relaxed LuPb crystal at the GGA-PBE level of DFT.

The calculation puts the density of states at the Fermi level at 0.807 states/eV per atom. The value obtained for the energy is -4.333 eV/atom.

Cell lengths 6.1985, 6.1985, 6.1985 Å; angles 90.00, 90.00, 90.00 degrees
Fractional positions:
1 Lu 0.0000 0.0000 0.0000
2 Lu 0.0000 0.5000 0.5000
3 Lu 0.5000 0.0000 0.5000
4 Lu 0.5000 0.5000 0.0000
5 Pb 0.0000 0.0000 0.5000
6 Pb 0.0000 0.5000 0.0000
7 Pb 0.5000 0.0000 0.0000
8 Pb 0.5000 0.5000 0.5000

Computed, not measured: a relaxed Lu6Pb5 crystal at the GGA-PBE level of DFT.

The calculation puts the density of states at the Fermi level at 0.674 states/eV per atom. The value obtained for the energy is -4.589 eV/atom.

Cell lengths 11.5883, 11.5883, 11.5883 Å; angles 132.69, 58.50, 147.62 degrees
Fractional positions:
1 Lu 0.0549 0.2500 0.8049
2 Lu 0.0598 0.2329 0.2927
3 Lu 0.1420 0.6119 0.7539
4 Lu 0.3580 0.1119 0.4699
5 Lu 0.4402 0.7329 0.1732
6 Lu 0.4451 0.2500 0.1951
7 Lu 0.5549 0.7500 0.8049
8 Lu 0.5598 0.2671 0.8268
9 Lu 0.6420 0.8881 0.5301
10 Lu 0.8580 0.3881 0.2461
11 Lu 0.9402 0.7671 0.7073
12 Lu 0.9451 0.7500 0.1951
13 Pb 0.0752 0.8992 0.9743
14 Pb 0.2064 0.3038 0.5101
15 Pb 0.2500 0.7500 0.5000
16 Pb 0.2936 0.8038 0.0974
17 Pb 0.4248 0.3992 0.8240
18 Pb 0.5752 0.6008 0.1760
19 Pb 0.7064 0.1962 0.9026
20 Pb 0.7500 0.2500 0.5000
21 Pb 0.7936 0.6962 0.4899
22 Pb 0.9248 0.1008 0.0257